Density functional theory data (PBE-GGA) for an optimized crystal structure of Be2Ga2Cu7Si. Values from VASP.

Output
As for the size of the total moment: 0.000 μB per formula unit. The value obtained for the volume is 149.5 Å³ per cell. Its total energy is -3.913 eV/atom. The value obtained for the formation energy (no corrections) is 0.054 eV/atom.

The structure in Quantum ESPRESSO input format:
```
&SYSTEM
  ibrav = 0, nat = 12, ntyp = 4
/
ATOMIC_SPECIES
Be 9.01 Be.upf
Ga 69.72 Ga.upf
Cu 63.55 Cu.upf
Si 28.09 Si.upf
ATOMIC_POSITIONS angstrom
Be 4.7253 4.7196 8.6753
Be 1.5008 1.4989 3.7469
Ga 3.2684 3.2644 4.1943
Ga 2.9577 2.9541 8.2279
Cu 1.7795 1.7773 0.2910
Cu 2.1682 2.1655 6.0646
Cu 4.0580 4.0530 6.3576
Cu 3.4426 1.5979 2.2512
Cu 1.6021 3.4406 2.2512
Cu 4.6240 2.7779 10.1710
Cu 2.7836 4.6206 10.1710
Si 0.0000 0.0000 0.0000
CELL_PARAMETERS angstrom
3.6207 -0.0661 0.2910
-0.0617 3.6208 0.2910
2.6671 2.6639 11.8402
```

Density functional theory data (PBE-GGA) for an optimized crystal structure of BeGa2Cu7Si2. Values from VASP.

Output
As for the size of the total moment: 0.000 μB per formula unit. The value obtained for the volume is 161.6 Å³ per cell. Its total energy is -4.065 eV/atom. The value obtained for the formation energy (no corrections) is 0.044 eV/atom.

The structure in Quantum ESPRESSO input format:
```
&SYSTEM
  ibrav = 0, nat = 12, ntyp = 4
/
ATOMIC_SPECIES
Be 9.01 Be.upf
Ga 69.72 Ga.upf
Cu 63.55 Cu.upf
Si 28.09 Si.upf
ATOMIC_POSITIONS angstrom
Be 0.0000 0.0000 0.0000
Ga 3.4819 3.4776 3.5401
Ga 3.1418 3.1380 7.5077
Cu 1.8645 1.8622 0.3134
Cu 2.3237 2.3209 5.3548
Cu 4.2999 4.2947 5.6930
Cu 3.7707 1.5878 1.8427
Cu 1.5924 3.7687 1.8427
Cu 5.0313 2.8469 9.2051
Cu 2.8530 5.0278 9.2051
Si 4.9989 4.9928 7.9291
Si 1.6247 1.6228 3.1186
CELL_PARAMETERS angstrom
4.0451 -0.3210 0.3134
-0.3161 4.0455 0.3134
2.8946 2.8911 10.4210
```

Density functional theory data (PBE-GGA) for an optimized crystal structure of SmBeGaCu6. Values from VASP.

Output
As for the size of the total moment: 0.000 μB per formula unit. The value obtained for the volume is 269.3 Å³ per cell. Its total energy is -4.066 eV/atom. The calculation puts the energy of formation from the pure elements at -0.54 eV per formula unit.

The structure in Quantum ESPRESSO input format:
```
&SYSTEM
  ibrav = 0, nat = 18, ntyp = 4
/
ATOMIC_SPECIES
Sm 150.36 Sm.upf
Be 9.01 Be.upf
Ga 69.72 Ga.upf
Cu 63.55 Cu.upf
ATOMIC_POSITIONS angstrom
Sm 3.8682 1.2869 3.3604
Sm 0.0000 1.2869 3.4015
Be 3.8682 2.5738 0.0000
Be 3.8682 0.0000 0.0000
Ga 1.9341 -1.2869 3.3810
Ga -1.9341 -1.2869 3.3810
Cu 3.8682 3.8607 1.8332
Cu 0.0000 1.2869 0.0327
Cu 5.8857 0.0360 1.2290
Cu 1.8507 2.5378 1.2290
Cu 1.8507 0.0360 1.2290
Cu 5.8857 2.5378 1.2290
Cu 0.0000 -1.2869 4.9287
Cu 3.8682 1.2869 6.7292
Cu -2.0175 2.5378 5.5329
Cu 2.0175 0.0360 5.5329
Cu 2.0175 2.5378 5.5329
Cu -2.0175 0.0360 5.5329
CELL_PARAMETERS angstrom
7.7364 0.0000 0.0000
0.0000 5.1476 0.0000
-3.8682 -2.5738 6.7619
```

Density functional theory data (PBE-GGA) for an optimized crystal structure of Sm2BeGa3Cu12. Values from VASP.

Output
As for the size of the total moment: 0.000 μB per formula unit. The value obtained for the volume is 284.8 Å³ per cell. Its total energy is -3.885 eV/atom. The calculation puts the energy of formation from the pure elements at 1.47 eV per formula unit.

The structure in Quantum ESPRESSO input format:
```
&SYSTEM
  ibrav = 0, nat = 18, ntyp = 4
/
ATOMIC_SPECIES
Sm 150.36 Sm.upf
Be 9.01 Be.upf
Ga 69.72 Ga.upf
Cu 63.55 Cu.upf
ATOMIC_POSITIONS angstrom
Sm 16.6103 9.6686 6.8578
Sm 9.1537 5.3282 3.7793
Be 0.0000 0.0000 0.0000
Ga 5.2302 1.4294 1.0139
Ga 3.8259 3.8420 1.0139
Ga 3.8259 2.2270 3.2908
Cu 13.9208 8.1031 7.2725
Cu 19.1329 11.1369 6.0552
Cu 17.6195 11.9965 8.5090
Cu 15.1724 7.3922 5.2432
Cu 19.1329 9.3965 8.5090
Cu 13.9208 9.5424 5.2432
Cu 11.8433 6.8938 3.3646
Cu 6.6311 3.8599 4.5819
Cu 8.1445 3.0003 2.1281
Cu 10.5917 7.6046 5.3939
Cu 6.6311 5.6003 2.1281
Cu 11.8433 5.4544 5.3939
CELL_PARAMETERS angstrom
10.4604 2.8589 2.0278
7.6518 7.6840 2.0278
7.6518 4.4540 6.5816
```

Density functional theory data (PBE-GGA) for an optimized crystal structure of SmBeGa2Cu4. Values from VASP.

Output
As for the size of the total moment: 0.000 μB per formula unit. The value obtained for the volume is 121.4 Å³ per cell. Its total energy is -4.069 eV/atom. The calculation puts the energy of formation from the pure elements at -1.66 eV per formula unit.

The structure in Quantum ESPRESSO input format:
```
&SYSTEM
  ibrav = 0, nat = 8, ntyp = 4
/
ATOMIC_SPECIES
Sm 150.36 Sm.upf
Be 9.01 Be.upf
Ga 69.72 Ga.upf
Cu 63.55 Cu.upf
ATOMIC_POSITIONS angstrom
Sm 0.0000 0.0000 0.0000
Be 4.1059 2.3705 4.1586
Ga 6.1589 3.5558 6.0902
Ga 2.0530 1.1853 2.2270
Cu 4.1059 2.3705 6.3820
Cu 6.1589 3.5558 3.4821
Cu 2.0530 1.1853 4.8350
Cu 4.1059 2.3705 1.9351
CELL_PARAMETERS angstrom
4.1059 0.0000 0.0000
2.0530 3.5558 0.0000
2.0530 1.1853 8.3171
```

Density functional theory data (PBE-GGA) for an optimized crystal structure of SrBe2GaCu. Values from VASP.

Output
As for the size of the total moment: 0.000 μB per formula unit. The value obtained for the volume is 169.8 Å³ per cell. Its total energy is -1.469 eV/atom. The calculation puts the energy of formation from the pure elements at 8.91 eV per formula unit.

The structure in Quantum ESPRESSO input format:
```
&SYSTEM
  ibrav = 0, nat = 5, ntyp = 4
/
ATOMIC_SPECIES
Sr 87.62 Sr.upf
Cu 63.55 Cu.upf
Ga 69.72 Ga.upf
Be 9.01 Be.upf
ATOMIC_POSITIONS angstrom
Sr 0.0000 0.0000 0.0000
Cu 1.0670 -0.8225 -2.3522
Ga 2.7053 -3.9265 -0.5236
Be 2.4433 -0.4813 1.2767
Be -0.8050 -2.6227 0.5519
CELL_PARAMETERS angstrom
-1.6101 -5.2454 1.1039
2.1340 -1.6450 -4.7043
4.8866 -0.9626 2.5533
```

Question: Look up the size of the total moment of the third one.
Answer: 0.000 μB per formula unit